*A*
VASP calculation (GGA-PBE) on a geometry-optimized Al2CN structure.

- Symmetry: Fm-3m (225)

Cell lengths 3.7653, 3.7653, 3.7653 Å; angles 60.00, 60.00, 60.00 degrees
Fractional positions:
Al 0.2500 0.2500 0.2500
C 0.0000 0.0000 0.0000
Al 0.7500 0.7500 0.7500
N 0.5000 0.5000 0.5000



*B*
VASP calculation (GGA-PBE) on a geometry-optimized Al2CN structure.

- Symmetry: P2/m (10)

Cell lengths 4.1507, 4.2092, 2.9601 Å; angles 90.00, 135.39, 90.00 degrees
Fractional positions:
N 0.1250 0.5000 0.6250
C 0.6250 0.0000 0.6250
Al 0.1250 0.0000 0.6250
Al 0.6250 0.5000 0.6250



*C*
VASP calculation (GGA-PBE) on a geometry-optimized Al2CN structure.

- Symmetry: R3m (160)

Cell lengths 2.8608, 2.8608, 5.5065 Å; angles 74.94, 74.94, 60.00 degrees
Fractional positions:
Al 0.2474 0.2474 0.2578
N 0.4973 0.4973 0.5082
C 0.6682 0.6682 0.9953
Al 0.0871 0.0871 0.7387



Q: Which of them is the least stable? A: *A*.